[1]
Here is crystalline LaY3Cu at its relaxed geometry from Alexandria via LeMat-Bulk. Energies are from PBE.

- Electronic total energy: -4.575 eV per atom
- V: 34.8 Å³ per atom
- Offset from the most stable computed form: 102.87 kJ/mol of atoms
- Formation enthalpy at 0 K: 5.54 eV/f.u.
- Mass density: 4484 kg/m³
- Crystal system: cubic

```
LaY3Cu
1.0
5.580 0.000 0.000
0.000 5.580 0.000
0.000 0.000 5.580
La Y Cu
1 3 1
direct
0.000 0.000 0.000 La
0.000 0.000 0.500 Y
0.000 0.500 0.000 Y
0.500 0.000 0.000 Y
0.500 0.500 0.500 Cu
```


[2]
Here is crystalline Ir2Cl3 at its relaxed geometry from Alexandria via LeMat-Bulk. Energies are from PBE.

- Electronic total energy: -4.326 eV per atom
- Uncorrected formation energy: 0.33 eV per atom
- V: 22.2 Å³ per atom
- Offset from the most stable computed form: 0.00 kJ/mol of atoms
- Mass density: 7342 kg/m³
- Crystal system: orthorhombic

```
Ir2Cl3
1.0
0.000 7.367 3.135
4.806 0.000 3.135
4.806 7.367 0.000
Ir Cl
4 6
direct
0.296 0.704 0.455 Ir
0.704 0.296 0.545 Ir
0.705 0.795 0.546 Ir
0.795 0.705 0.954 Ir
0.141 0.834 0.305 Cl
0.320 0.320 0.680 Cl
0.530 0.945 0.416 Cl
0.570 0.570 0.930 Cl
0.834 0.141 0.720 Cl
0.945 0.530 0.109 Cl
```


Q: Which value of offset from the most stable computed form does entry 2 give?
A: 0.00 kJ/mol of atoms


Q: Which value of mass density does entry 1 give?
A: 4484 kg/m³


Copy entry 1 word for word.
Here is crystalline LaY3Cu at its relaxed geometry from Alexandria via LeMat-Bulk. Energies are from PBE.

- Electronic total energy: -4.575 eV per atom
- V: 34.8 Å³ per atom
- Offset from the most stable computed form: 102.87 kJ/mol of atoms
- Formation enthalpy at 0 K: 5.54 eV/f.u.
- Mass density: 4484 kg/m³
- Crystal system: cubic

```
LaY3Cu
1.0
5.580 0.000 0.000
0.000 5.580 0.000
0.000 0.000 5.580
La Y Cu
1 3 1
direct
0.000 0.000 0.000 La
0.000 0.000 0.500 Y
0.000 0.500 0.000 Y
0.500 0.000 0.000 Y
0.500 0.500 0.500 Cu
```